CaGaReC2 | PBE-GGA | optimized geometry

Properties
**Total energy**: -3.94 eV/atom
**Calculated formation energy**: 3.244 eV/atom
**Total magnetization**: 0.00 Bohr magnetons per cell

Lattice parameters (Å, degrees): 4.182 5.357 4.182 90.00 90.00 90.00
Sites, in units of the cell vectors:
1 Re 0.000 0.500 0.000
2 C 0.000 0.000 0.500
3 Ga 0.500 0.500 0.500
4 C 0.500 0.000 0.000
5 Ca 0.000 0.000 0.000

=====

Ca2GaRhC | PBE-GGA | optimized geometry

Properties
**Total energy**: -4.96 eV/atom
**Calculated formation energy**: -0.244 eV/atom
**Total magnetization**: 0.00 Bohr magnetons per cell

Lattice parameters (Å, degrees): 5.089 5.089 3.885 90.00 90.00 90.00
Sites, in units of the cell vectors:
1 Ca 0.500 0.000 0.000
2 Rh 0.000 0.000 0.500
3 Ca 0.000 0.500 0.000
4 C 0.000 0.000 0.000
5 Ga 0.500 0.500 0.500

=====

CaGa2Ru2C | PBE-GGA | optimized geometry

Properties
**Total energy**: -6.29 eV/atom
**Calculated formation energy**: -0.318 eV/atom
**Total magnetization**: 0.00 Bohr magnetons per cell

Lattice parameters (Å, degrees): 4.097 4.097 5.672 90.00 90.00 90.00
Sites, in units of the cell vectors:
1 Ga 0.500 0.500 0.721
2 Ru 0.500 0.000 0.000
3 Ga 0.500 0.500 0.279
4 C 0.000 0.000 0.000
5 Ca 0.000 0.000 0.500
6 Ru 0.000 0.500 0.000

=====

CaGaRu2C | PBE-GGA | optimized geometry

Properties
**Total energy**: -6.77 eV/atom
**Calculated formation energy**: -0.212 eV/atom
**Total magnetization**: 0.00 Bohr magnetons per cell

Lattice parameters (Å, degrees): 4.032 5.833 7.356 90.00 90.00 110.22
Sites, in units of the cell vectors:
1 Ru 0.165 0.330 0.557
2 Ca 0.546 0.092 0.250
3 C 0.000 0.000 0.000
4 C 0.000 0.000 0.500
5 Ca 0.454 0.908 0.750
6 Ru 0.835 0.670 0.057
7 Ga 0.727 0.454 0.750
8 Ru 0.835 0.670 0.443
9 Ru 0.165 0.330 0.943
10 Ga 0.273 0.546 0.250

=====

CaSc2GaC | PBE-GGA | optimized geometry

Properties
**Total energy**: -5.73 eV/atom
**Calculated formation energy**: -0.346 eV/atom
**Total magnetization**: 0.00 Bohr magnetons per cell

Lattice parameters (Å, degrees): 4.519 4.519 4.946 90.00 90.00 90.00
Sites, in units of the cell vectors:
1 Sc 0.500 0.000 0.000
2 Ga 0.500 0.500 0.500
3 C 0.000 0.000 0.000
4 Ca 0.000 0.000 0.500
5 Sc 0.000 0.500 0.000

=====

Ca2GaSnC | PBE-GGA | optimized geometry

Properties
**Total energy**: -2.85 eV/atom
**Calculated formation energy**: 1.204 eV/atom
**Total magnetization**: 2.02 Bohr magnetons per cell

Lattice parameters (Å, degrees): 5.955 5.202 5.955 90.00 90.00 90.00
Sites, in units of the cell vectors:
1 Ca 0.500 0.000 0.000
2 Sn 0.000 0.000 0.000
3 C 0.500 0.500 0.500
4 Ga 0.000 0.500 0.000
5 Ca 0.000 0.000 0.500

=====

CaGaSn2C | PBE-GGA | optimized geometry

Properties
**Total energy**: -3.03 eV/atom
**Calculated formation energy**: 1.420 eV/atom
**Total magnetization**: 0.00 Bohr magnetons per cell

Lattice parameters (Å, degrees): 5.869 4.326 5.869 90.00 90.00 90.00
Sites, in units of the cell vectors:
1 Sn 0.500 0.000 0.000
2 Sn 0.000 0.000 0.500
3 Ga 0.500 0.500 0.500
4 Ca 0.000 0.000 0.000
5 C 0.000 0.500 0.000

=====

CaGa2Tc2C | PBE-GGA | optimized geometry

Properties
**Total energy**: -6.59 eV/atom
**Calculated formation energy**: -0.253 eV/atom
**Total magnetization**: 0.00 Bohr magnetons per cell

Lattice parameters (Å, degrees): 4.131 4.131 5.721 90.00 90.00 90.00
Sites, in units of the cell vectors:
1 Ca 0.000 0.000 0.500
2 Ga 0.500 0.500 0.719
3 C 0.000 0.000 0.000
4 Ga 0.500 0.500 0.281
5 Tc 0.500 0.000 0.000
6 Tc 0.000 0.500 0.000

=====

CaV2GaC | PBE-GGA | optimized geometry

Properties
**Total energy**: -3.98 eV/atom
**Calculated formation energy**: 2.520 eV/atom
**Total magnetization**: 0.00 Bohr magnetons per cell

Lattice parameters (Å, degrees): 4.553 4.326 4.553 90.00 90.00 90.00
Sites, in units of the cell vectors:
1 Ca 0.000 0.000 0.000
2 Ga 0.500 0.500 0.500
3 C 0.000 0.500 0.000
4 V 0.000 0.000 0.500
5 V 0.500 0.000 0.000

=====

Ca2YGaC | PBE-GGA | optimized geometry

Properties
**Total energy**: -4.65 eV/atom
**Calculated formation energy**: -0.102 eV/atom
**Total magnetization**: 0.00 Bohr magnetons per cell

Lattice parameters (Å, degrees): 5.071 5.071 4.758 90.00 90.00 90.00
Sites, in units of the cell vectors:
1 Ga 0.500 0.500 0.500
2 Y 0.000 0.000 0.500
3 Ca 0.500 0.000 0.000
4 C 0.000 0.000 0.000
5 Ca 0.000 0.500 0.000

=====

CaGd3C | PBE-GGA | optimized geometry

Properties
**Total energy**: -10.70 eV/atom
**Calculated formation energy**: -0.008 eV/atom
**Total magnetization**: 23.05 Bohr magnetons per cell

Lattice parameters (Å, degrees): 5.170 5.170 5.170 90.00 90.00 90.00
Sites, in units of the cell vectors:
1 Gd 0.500 0.000 0.000
2 Ca 0.500 0.500 0.500
3 Gd 0.000 0.000 0.500
4 C 0.000 0.000 0.000
5 Gd 0.000 0.500 0.000

=====

CaGe2C | PBE-GGA | optimized geometry

Properties
**Total energy**: -4.77 eV/atom
**Calculated formation energy**: 0.349 eV/atom
**Total magnetization**: 0.00 Bohr magnetons per cell

Lattice parameters (Å, degrees): 6.809 6.809 5.717 53.45 53.45 90.00
Sites, in units of the cell vectors:
1 Ca 0.750 0.250 0.500
2 C 0.250 0.750 0.500
3 Ge 0.529 0.125 0.250
4 Ge 0.875 0.779 0.750
5 Ca 0.000 0.000 0.000
6 Ge 0.375 0.471 0.750
7 Ge 0.221 0.625 0.250
8 C 0.500 0.500 0.000

=====

Ca2GeC | PBE-GGA | optimized geometry

Properties
**Total energy**: -3.95 eV/atom
**Calculated formation energy**: 0.512 eV/atom
**Total magnetization**: 0.00 Bohr magnetons per cell

Lattice parameters (Å, degrees): 4.865 4.865 4.865 60.00 60.00 60.00
Sites, in units of the cell vectors:
1 Ca 0.750 0.750 0.750
2 Ge 0.500 0.500 0.500
3 Ca 0.250 0.250 0.250
4 C 0.000 0.000 0.000

=====

CaGeC3 | PBE-GGA | optimized geometry

Properties
**Total energy**: -5.03 eV/atom
**Calculated formation energy**: 1.833 eV/atom
**Total magnetization**: 0.00 Bohr magnetons per cell

Lattice parameters (Å, degrees): 4.035 4.035 4.035 90.00 90.00 90.00
Sites, in units of the cell vectors:
1 C 0.500 0.000 0.000
2 Ca 0.500 0.500 0.500
3 C 0.000 0.500 0.000
4 Ge 0.000 0.000 0.000
5 C 0.000 0.000 0.500

=====

CaGeC3 | PBE-GGA | optimized geometry

Properties
**Total energy**: -3.59 eV/atom
**Calculated formation energy**: 3.269 eV/atom
**Total magnetization**: 0.00 Bohr magnetons per cell

Lattice parameters (Å, degrees): 4.443 4.443 4.443 90.00 90.00 90.00
Sites, in units of the cell vectors:
1 Ge 0.500 0.500 0.500
2 C 0.000 0.000 0.500
3 Ca 0.000 0.000 0.000
4 C 0.000 0.500 0.000
5 C 0.500 0.000 0.000

=====

Ca2GeC | PBE-GGA | optimized geometry

Properties
**Total energy**: -3.93 eV/atom
**Calculated formation energy**: 0.528 eV/atom
**Total magnetization**: 1.56 Bohr magnetons per cell

Lattice parameters (Å, degrees): 7.488 7.488 6.187 52.76 52.76 90.00
Sites, in units of the cell vectors:
1 Ge 0.000 0.000 0.000
2 C 0.500 0.500 0.000
3 Ca 0.375 0.445 0.750
4 C 0.250 0.750 0.500
5 Ca 0.875 0.805 0.750
6 Ge 0.750 0.250 0.500
7 Ca 0.555 0.125 0.250
8 Ca 0.195 0.625 0.250

=====

CaGe2C | PBE-GGA | optimized geometry

Properties
**Total energy**: -3.91 eV/atom
**Calculated formation energy**: 1.203 eV/atom
**Total magnetization**: 0.00 Bohr magnetons per cell

Lattice parameters (Å, degrees): 4.722 4.722 4.722 60.00 60.00 60.00
Sites, in units of the cell vectors:
1 Ge 0.250 0.250 0.250
2 Ge 0.750 0.750 0.750
3 C 0.000 0.000 0.000
4 Ca 0.500 0.500 0.500

=====

CaHfGe2C | PBE-GGA | optimized geometry

Properties
**Total energy**: -5.67 eV/atom
**Calculated formation energy**: 0.411 eV/atom
**Total magnetization**: 0.00 Bohr magnetons per cell

Lattice parameters (Å, degrees): 5.163 4.367 5.163 90.00 90.00 90.00
Sites, in units of the cell vectors:
1 Ca 0.500 0.500 0.500
2 Hf 0.000 0.000 0.000
3 Ge 0.500 0.000 0.000
4 C 0.000 0.500 0.000
5 Ge 0.000 0.000 0.500

=====

Ca2GeIrC | PBE-GGA | optimized geometry

Properties
**Total energy**: -5.21 eV/atom
**Calculated formation energy**: 0.127 eV/atom
**Total magnetization**: 0.84 Bohr magnetons per cell

Lattice parameters (Å, degrees): 5.598 5.598 3.846 90.00 90.00 90.00
Sites, in units of the cell vectors:
1 Ge 0.500 0.500 0.500
2 Ir 0.000 0.000 0.000
3 Ca 0.000 0.500 0.000
4 Ca 0.500 0.000 0.000
5 C 0.000 0.000 0.500

=====

LiCa2GeC | PBE-GGA | optimized geometry

Properties
**Total energy**: -3.06 eV/atom
**Calculated formation energy**: 0.889 eV/atom
**Total magnetization**: 2.98 Bohr magnetons per cell

Lattice parameters (Å, degrees): 5.644 4.690 5.644 90.00 90.00 90.00
Sites, in units of the cell vectors:
1 Ca 0.000 0.000 0.500
2 Li 0.000 0.500 0.000
3 Ca 0.500 0.000 0.000
4 Ge 0.000 0.000 0.000
5 C 0.500 0.500 0.500

=====

Ca3GeC2N6 | PBE-GGA | optimized geometry

Properties
**Total energy**: -6.95 eV/atom
**Energy relative to the elements, uncorrected**: -361 meV per atom
**Total magnetization**: 0.00 Bohr magnetons per cell

Lattice parameters (Å, degrees): 5.199 5.199 6.250 90.00 90.00 120.00
Sites, in units of the cell vectors:
1 C 0.333 0.667 0.288
2 Ca 0.667 0.333 0.305
3 N 0.181 0.362 0.283
4 N 0.181 0.819 0.283
5 Ca 0.333 0.667 0.695
6 N 0.638 0.819 0.283
7 Ge 0.000 0.000 0.500
8 N 0.362 0.181 0.717
9 C 0.667 0.333 0.712
10 N 0.819 0.181 0.717
11 Ca 0.000 0.000 0.000
12 N 0.819 0.638 0.717

=====

CaGeP2C | PBE-GGA | optimized geometry

Properties
**Total energy**: -4.73 eV/atom
**Calculated formation energy**: 0.604 eV/atom
**Total magnetization**: 0.00 Bohr magnetons per cell

Lattice parameters (Å, degrees): 4.603 4.019 4.603 90.00 90.00 90.00
Sites, in units of the cell vectors:
1 P 0.000 0.000 0.500
2 Ge 0.000 0.500 0.000
3 Ca 0.500 0.500 0.500
4 P 0.500 0.000 0.000
5 C 0.000 0.000 0.000

=====

RbCaGeC2 | PBE-GGA | optimized geometry

Properties
**Total energy**: -3.21 eV/atom
**Calculated formation energy**: 2.002 eV/atom
**Total magnetization**: 0.00 Bohr magnetons per cell

Lattice parameters (Å, degrees): 4.304 5.377 4.304 90.00 90.00 90.00
Sites, in units of the cell vectors:
1 Ge 0.000 0.000 0.000
2 Rb 0.000 0.500 0.000
3 C 0.000 0.000 0.500
4 C 0.500 0.000 0.000
5 Ca 0.500 0.500 0.500

=====

Ca2GeRuC | PBE-GGA | optimized geometry

Properties
**Total energy**: -4.41 eV/atom
**Calculated formation energy**: 1.014 eV/atom
**Total magnetization**: 1.98 Bohr magnetons per cell

Lattice parameters (Å, degrees): 5.376 4.646 5.376 90.00 90.00 90.00
Sites, in units of the cell vectors:
1 Ge 0.000 0.500 0.000
2 Ca 0.500 0.000 0.000
3 Ca 0.000 0.000 0.500
4 C 0.500 0.500 0.500
5 Ru 0.000 0.000 0.000

=====

Ca2ScGeC | PBE-GGA | optimized geometry

Properties
**Total energy**: -3.90 eV/atom
**Calculated formation energy**: 0.935 eV/atom
**Total magnetization**: 0.37 Bohr magnetons per cell

Lattice parameters (Å, degrees): 6.103 3.895 6.103 90.00 90.00 90.00
Sites, in units of the cell vectors:
1 Ca 0.500 0.000 0.000
2 C 0.000 0.500 0.000
3 Ca 0.000 0.000 0.500
4 Sc 0.000 0.000 0.000
5 Ge 0.500 0.500 0.500

=====

CaSi2GeC | PBE-GGA | optimized geometry

Properties
**Total energy**: -2.68 eV/atom
**Energy relative to the elements, uncorrected**: 2656 meV per atom
**Total magnetization**: 2.16 Bohr magnetons per cell

Lattice parameters (Å, degrees): 5.367 5.439 5.367 90.00 90.00 90.00
Sites, in units of the cell vectors:
1 Si 0.000 0.000 0.500
2 Ge 0.000 0.500 0.000
3 Si 0.500 0.000 0.000
4 Ca 0.000 0.000 0.000
5 C 0.500 0.500 0.500

=====

CaTc2Ge2C | PBE-GGA | optimized geometry

Properties
**Total energy**: -7.12 eV/atom
**Calculated formation energy**: -0.250 eV/atom
**Total magnetization**: 0.00 Bohr magnetons per cell

Lattice parameters (Å, degrees): 4.173 4.173 5.561 90.00 90.00 90.00
Sites, in units of the cell vectors:
1 C 0.000 0.000 0.000
2 Ge 0.500 0.500 0.277
3 Ge 0.500 0.500 0.723
4 Ca 0.000 0.000 0.500
5 Tc 0.000 0.500 0.000
6 Tc 0.500 0.000 0.000

=====

Ca2TlGeC | PBE-GGA | optimized geometry

Properties
**Total energy**: -2.97 eV/atom
**Calculated formation energy**: 1.068 eV/atom
**Total magnetization**: 1.93 Bohr magnetons per cell

Lattice parameters (Å, degrees): 5.659 5.243 5.659 90.00 90.00 90.00
Sites, in units of the cell vectors:
1 Ge 0.000 0.000 0.000
2 C 0.500 0.500 0.500
3 Tl 0.000 0.500 0.000
4 Ca 0.000 0.000 0.500
5 Ca 0.500 0.000 0.000

=====

How do the records compare in N(E_F)? In the order shown, they have 4.45; 2.04; 1.04; 3.14; 4.82; 2.85; 3.96; 3.05; 10.06; 5.62; 6.13; 0.13; 2.29; 2.43; 3.95; 3.88; 2.52; 1.95; 5.24; 0.87; 2.81; 2.78; 2.26; 3.48; 5.89; 6.66; 3.58; 2.34 states/eV/f.u..